[1]
MgCrCo: optimized geometry, GGA-PBEsol.

The structure in CIF format:
```
data_MgCrCo
_symmetry_space_group_name_H-M 'P 3 m 1'
_symmetry_Int_Tables_number 156
_symmetry_space_group_name_Hall 'P 3 -2"'
_cell_length_a 4.0682
_cell_length_b 4.0682
_cell_length_c 2.6037
_cell_angle_alpha 90.00
_cell_angle_beta 90.00
_cell_angle_gamma 120.00
loop_
_atom_site_label
_atom_site_type_symbol
_atom_site_fract_x
_atom_site_fract_y
_atom_site_fract_z
_atom_site_occupancy
Mg1 Mg 0.0000 0.0000 0.0000 1
Cr1 Cr 0.6667 0.3333 0.5830 1
Co1 Co 0.3333 0.6667 0.3820 1
```

Properties
- density (g/cm³) = 6.02
- VASP energy (eV per cell) = -18.4


[2]
Mn2CrCo: optimized geometry, GGA-PBEsol.

The structure in CIF format:
```
data_Mn2CrCo
_symmetry_space_group_name_H-M 'F m -3 m'
_symmetry_Int_Tables_number 225
_symmetry_space_group_name_Hall '-F 4 2 3'
_cell_length_a 5.630
_cell_length_b 5.630
_cell_length_c 5.630
_cell_angle_alpha 90.00
_cell_angle_beta 90.00
_cell_angle_gamma 90.00
loop_
_atom_site_label
_atom_site_type_symbol
_atom_site_fract_x
_atom_site_fract_y
_atom_site_fract_z
_atom_site_occupancy
Mn1 Mn 0.250 0.250 0.250 1
Cr1 Cr 0.000 0.000 0.000 1
Co1 Co 0.000 0.000 0.500 1
```

Properties
- density (g/cm³) = 8.22
- VASP energy (eV per cell) = -149.5


[3]
MnCr2Co: optimized geometry, GGA-PBEsol.

The structure in CIF format:
```
data_MnCr2Co
_symmetry_space_group_name_H-M 'F -4 3 m'
_symmetry_Int_Tables_number 216
_symmetry_space_group_name_Hall 'F -4 2 3'
_cell_length_a 5.605
_cell_length_b 5.605
_cell_length_c 5.605
_cell_angle_alpha 90.00
_cell_angle_beta 90.00
_cell_angle_gamma 90.00
loop_
_atom_site_label
_atom_site_type_symbol
_atom_site_fract_x
_atom_site_fract_y
_atom_site_fract_z
_atom_site_occupancy
Mn1 Mn 0.000 0.000 0.000 1
Cr1 Cr 0.000 0.000 0.500 1
Cr2 Cr 0.250 0.250 0.250 1
Co1 Co 0.250 0.250 0.750 1
```

Properties
- density (g/cm³) = 8.22
- VASP energy (eV per cell) = -150.5